The following is a PBE calculation of Ac7Pb3 after structural relaxation, from the Alexandria database.

For the total magnetization, the calculation gives 0.000 μB per atom. As for the space-group type: P6_3mc. The calculation puts the energy of formation at -0.36 eV per atom.

Cell lengths 7.1049, 11.5671, 11.5671 Å; angles 120.00, 90.00, 90.00 degrees
Last column: nearest neighbours and their distance in Å.
Fractional positions:
Ac 0.0837 0.6667 0.3333  3 Pb 3.45
Ac 0.5837 0.3333 0.6667  3 Pb 3.45
Ac 0.9103 0.8758 0.7515  3 Pb 3.41-3.53
Ac 0.9103 0.8758 0.1242  3 Pb 3.41-3.53
Ac 0.9103 0.2485 0.1242  3 Pb 3.41-3.53
Ac 0.4103 0.1242 0.2485  3 Pb 3.41-3.53
Ac 0.4103 0.1242 0.8758  3 Pb 3.41-3.53
Ac 0.4103 0.7515 0.8758  3 Pb 3.41-3.53
Ac 0.1642 0.4677 0.9354  4 Pb 3.47-3.83, 2 Ac 3.78
Ac 0.1642 0.4677 0.5323  4 Pb 3.47-3.83, 2 Ac 3.78
Ac 0.1642 0.0646 0.5323  4 Pb 3.47-3.83, 2 Ac 3.78
Ac 0.6642 0.5323 0.0646  4 Pb 3.47-3.83, 2 Ac 3.78
Ac 0.6642 0.5323 0.4677  4 Pb 3.47-3.83, 2 Ac 3.78
Ac 0.6642 0.9354 0.4677  4 Pb 3.47-3.83, 2 Ac 3.78
Pb 0.8669 0.1932 0.3865  6 Ac 3.41-3.53
Pb 0.8669 0.1932 0.8068  6 Ac 3.41-3.53
Pb 0.8669 0.6135 0.8068  6 Ac 3.41-3.53
Pb 0.3669 0.8068 0.6135  6 Ac 3.41-3.53
Pb 0.3669 0.8068 0.1932  6 Ac 3.41-3.53
Pb 0.3669 0.3865 0.1932  6 Ac 3.41-3.53

***

The following is a PBE calculation of Ac5Pb4 after structural relaxation, from the Alexandria database.

For the total magnetization, the calculation gives 0.000 μB per atom. As for the space-group type: C2/m. The calculation puts the energy of formation at -0.51 eV per atom.

Cell lengths 5.0503, 6.8237, 11.2150 Å; angles 76.62, 76.99, 68.28 degrees
Last column: nearest neighbours and their distance in Å.
Fractional positions:
Ac 0.0920 0.2050 0.6110  5 Pb 3.43-3.58
Ac 0.9080 0.7950 0.3890  5 Pb 3.43-3.58
Ac 0.7528 0.6594 0.8351  6 Pb 3.52-3.79
Ac 0.2472 0.3406 0.1649  6 Pb 3.52-3.79
Ac 0.0000 0.0000 0.0000  4 Pb 3.36
Pb 0.4532 0.2574 0.8362  1 Pb 3.26, 6 Ac 3.36-3.59
Pb 0.5468 0.7426 0.1638  1 Pb 3.26, 6 Ac 3.36-3.59
Pb 0.3630 0.6638 0.6103  2 Pb 3.26-3.43, 5 Ac 3.43-3.52
Pb 0.6370 0.3362 0.3897  2 Pb 3.26-3.43, 5 Ac 3.43-3.52

***

The following is a PBE calculation of Ac3Pb4 after structural relaxation, from the Alexandria database.

For the total magnetization, the calculation gives 0.029 μB per atom. As for the space-group type: Immm. The calculation puts the energy of formation at -0.39 eV per atom.

Cell lengths 3.7891, 4.5155, 14.6751 Å; angles 98.85, 97.42, 90.00 degrees
Last column: nearest neighbours and their distance in Å.
Fractional positions:
Ac 0.8553 0.3553 0.7105  9 Pb 3.58-3.80, 2 Ac 3.79
Ac 0.0000 0.5000 0.0000  8 Pb 3.64, 2 Ac 3.79
Ac 0.1447 0.6447 0.2895  9 Pb 3.58-3.80, 2 Ac 3.79
Pb 0.7233 0.2233 0.4465  4 Pb 3.32, 4 Ac 3.71
Pb 0.2767 0.7767 0.5535  4 Pb 3.32, 4 Ac 3.71
Pb 0.4259 0.9259 0.8518  8 Ac 3.58-3.64, 2 Pb 3.79
Pb 0.5741 0.0741 0.1482  8 Ac 3.58-3.64, 2 Pb 3.79

***

The following is a PBE calculation of Ac5Pb4 after structural relaxation, from the Alexandria database.

For the total magnetization, the calculation gives 0.057 μB per atom. As for the space-group type: I4/m. The calculation puts the energy of formation at -0.33 eV per atom.

Cell lengths 6.8314, 8.3265, 8.3265 Å; angles 80.31, 65.78, 65.78 degrees
Last column: nearest neighbours and their distance in Å.
Fractional positions:
Ac 0.5000 0.0000 0.0000  4 Pb 3.36
Ac 0.0985 0.6030 0.2000  5 Pb 3.40-3.42
Ac 0.2985 0.8000 0.6030  5 Pb 3.40-3.42
Ac 0.7015 0.2000 0.3970  5 Pb 3.40-3.42
Ac 0.9015 0.3970 0.8000  5 Pb 3.40-3.42
Pb 0.2030 0.1978 0.3962  6 Ac 3.36-3.42
Pb 0.5992 0.6038 0.1978  6 Ac 3.36-3.42
Pb 0.4008 0.3962 0.8022  6 Ac 3.36-3.42
Pb 0.7970 0.8022 0.6038  6 Ac 3.36-3.42

***

The following is a PBE calculation of Ac5Pb after structural relaxation, from the Alexandria database.

For the total magnetization, the calculation gives 0.000 μB per atom. As for the space-group type: Cmmm. The calculation puts the energy of formation at -0.15 eV per atom.

Cell lengths 5.3990, 5.3832, 8.8963 Å; angles 107.61, 90.00, 90.00 degrees
Last column: nearest neighbours and their distance in Å.
Fractional positions:
Pb 0.0000 0.0000 0.0000  12 Ac 3.81-3.86
Ac 0.5000 0.8387 0.6773  10 Ac 3.81-4.04, 2 Pb 3.84
Ac 0.0000 0.6629 0.3259  10 Ac 3.81-4.02, 2 Pb 3.86
Ac 0.5000 0.5000 0.0000  4 Pb 3.81, 8 Ac 3.84-3.86
Ac 0.0000 0.3371 0.6741  10 Ac 3.81-4.02, 2 Pb 3.86
Ac 0.5000 0.1613 0.3227  10 Ac 3.81-4.04, 2 Pb 3.84

***

The following is a PBE calculation of Ac5Pb2 after structural relaxation, from the Alexandria database.

For the total magnetization, the calculation gives 0.000 μB per atom. As for the space-group type: C2/c. The calculation puts the energy of formation at -0.30 eV per atom.

Cell lengths 7.2445, 8.9878, 9.8224 Å; angles 96.88, 111.64, 90.00 degrees
Last column: nearest neighbours and their distance in Å.
Fractional positions:
Ac 0.2140 0.4319 0.1955  2 Pb 3.47-3.48
Ac 0.0186 0.0681 0.8045  2 Pb 3.47-3.48
Ac 0.1530 0.6983 0.5569  3 Pb 3.47-3.55
Ac 0.5961 0.8017 0.4431  3 Pb 3.47-3.55
Ac 0.8470 0.3017 0.4431  3 Pb 3.47-3.55
Ac 0.4039 0.1983 0.5569  3 Pb 3.47-3.55
Ac 0.9814 0.9319 0.1955  2 Pb 3.47-3.48
Ac 0.7860 0.5681 0.8045  2 Pb 3.47-3.48
Ac 0.6270 0.2500 0.0000  4 Pb 3.37
Ac 0.3730 0.7500 0.0000  4 Pb 3.37
Pb 0.2200 0.4150 0.7906  7 Ac 3.37-3.55
Pb 0.4294 0.0850 0.2094  7 Ac 3.37-3.55
Pb 0.7800 0.5850 0.2094  7 Ac 3.37-3.55
Pb 0.5706 0.9150 0.7906  7 Ac 3.37-3.55

***

The following is a PBE calculation of Ac3Pb4 after structural relaxation, from the Alexandria database.

For the total magnetization, the calculation gives 0.000 μB per atom. As for the space-group type: Cmcm. The calculation puts the energy of formation at -0.53 eV per atom.

Cell lengths 4.8201, 6.7001, 16.8857 Å; angles 90.00, 90.00, 111.08 degrees
Last column: nearest neighbours and their distance in Å.
Fractional positions:
Ac 0.6731 0.3463 0.0980  8 Pb 3.52-3.63
Ac 0.3293 0.6587 0.9026  8 Pb 3.52-3.63
Ac 0.6731 0.3462 0.4027  8 Pb 3.52-3.63
Ac 0.3291 0.6581 0.5980  8 Pb 3.52-3.63
Ac 0.9501 0.9002 0.2503  7 Pb 3.37-3.76
Ac 0.0522 0.1043 0.7505  7 Pb 3.37-3.76
Pb 0.2197 0.4395 0.2503  2 Pb 3.17, 1 Ac 3.37
Pb 0.7825 0.5651 0.7503  2 Pb 3.17, 1 Ac 3.37
Pb 0.3838 0.7677 0.1073  3 Pb 3.17-3.35, 3 Ac 3.51-3.52
Pb 0.0013 0.0026 0.0003  4 Pb 3.35, 4 Ac 3.63
Pb 0.3838 0.7676 0.3933  3 Pb 3.17-3.35, 3 Ac 3.51-3.52
Pb 0.6187 0.2373 0.8934  3 Pb 3.17-3.35, 3 Ac 3.51-3.52
Pb 0.0011 0.0021 0.5004  4 Pb 3.35, 4 Ac 3.63
Pb 0.6183 0.2366 0.6075  3 Pb 3.17-3.35, 3 Ac 3.51-3.52

***

The following is a PBE calculation of AcPb7 after structural relaxation, from the Alexandria database.

For the total magnetization, the calculation gives 0.000 μB per atom. As for the space-group type: Fm-3m. The calculation puts the energy of formation at -0.16 eV per atom.

Cell lengths 7.1562, 7.1562, 7.1562 Å; angles 60.00, 60.00, 60.00 degrees
Last column: nearest neighbours and their distance in Å.
Fractional positions:
Ac 0.0000 0.0000 0.0000  12 Pb 3.58
Pb 0.5000 0.5000 0.0000  10 Pb 3.58, 2 Ac 3.58
Pb 0.5000 0.0000 0.5000  10 Pb 3.58, 2 Ac 3.58
Pb 0.0000 0.5000 0.5000  10 Pb 3.58, 2 Ac 3.58
Pb 0.5000 0.0000 0.0000  10 Pb 3.58, 2 Ac 3.58
Pb 0.0000 0.5000 0.0000  2 Ac 3.58, 10 Pb 3.58
Pb 0.0000 0.0000 0.5000  10 Pb 3.58, 2 Ac 3.58
Pb 0.5000 0.5000 0.5000  12 Pb 3.58

***

The following is a PBE calculation of Ac8Pb3 after structural relaxation, from the Alexandria database.

For the total magnetization, the calculation gives 0.000 μB per atom. As for the space-group type: R-3. The calculation puts the energy of formation at -0.08 eV per atom.

Cell lengths 7.9447, 7.9447, 7.9447 Å; angles 89.37, 89.37, 89.37 degrees
Last column: nearest neighbours and their distance in Å.
Fractional positions:
Ac 0.8734 0.3195 0.1464  2 Pb 3.34-3.49
Ac 0.3195 0.1464 0.8734  2 Pb 3.34-3.49
Ac 0.1464 0.8734 0.3195  2 Pb 3.34-3.49
Ac 0.3529 0.3529 0.3529  3 Pb 3.24
Ac 0.6471 0.6471 0.6471  3 Pb 3.24
Ac 0.8536 0.1266 0.6805  2 Pb 3.34-3.49
Ac 0.6805 0.8536 0.1266  2 Pb 3.34-3.49
Ac 0.1266 0.6805 0.8536  2 Pb 3.34-3.49
Pb 0.5000 0.0000 0.5000  6 Ac 3.24-3.49
Pb 0.0000 0.5000 0.5000  6 Ac 3.24-3.49
Pb 0.5000 0.5000 0.0000  6 Ac 3.24-3.49

***

The following is a PBE calculation of Ac3Pb after structural relaxation, from the Alexandria database.

For the total magnetization, the calculation gives 0.000 μB per atom. As for the space-group type: Fm-3m. The calculation puts the energy of formation at -0.07 eV per atom.

Cell lengths 6.0715, 6.0715, 6.0715 Å; angles 60.00, 60.00, 60.00 degrees
Last column: nearest neighbours and their distance in Å.
Fractional positions:
Pb 0.5000 0.5000 0.5000  8 Ac 3.72
Ac 0.0000 0.0000 0.0000  8 Ac 3.72
Ac 0.7500 0.7500 0.7500  4 Pb 3.72, 4 Ac 3.72
Ac 0.2500 0.2500 0.2500  4 Pb 3.72, 4 Ac 3.72

***

We obtain raw total energy values of -43.529, -39.925, -29.893, -38.365, -25.126, -30.091, -30.881, -31.374, -44.886, -16.333 eV/f.u. for the records listed above, in that order.